VASP calculation (meta-GGA SCAN) on a PBEsol-optimized structure of Cu2HgOs.

Values from the calculation:
As for the formation energy: 0.57 eV/atom. For the calculated total energy, the calculation gives -42.0392 eV per atom.

a b c (Å): 2.686 2.686 8.967
angles (deg): 90.00 90.00 115.85
Element x y z (fractional)
Os  0.500  0.500  0.225
Cu  0.000  0.000  0.991
Hg  0.000  0.000  0.512
Cu  0.500  0.500  0.773

VASP calculation (meta-GGA SCAN) on a PBEsol-optimized structure of Cu2HgOs.

Values from the calculation:
As for the formation energy: 0.43 eV/atom. For the calculated total energy, the calculation gives -42.1854 eV per atom.

a b c (Å): 2.752 2.752 8.896
angles (deg): 81.10 81.10 60.00
Element x y z (fractional)
Hg  0.500  0.500  0.500
Cu  0.745  0.745  0.765
Os  0.000  0.000  0.000
Cu  0.255  0.255  0.235

- What is the calculated total energy in the first record?
  -42.0392 eV per atom

- Number 2 is which compound?
  Cu2HgOs